1.
The following is a PBE calculation of crystalline Nb4NiRh4 at its relaxed geometry, from the Alexandria database. Values from VASP.

```
&SYSTEM
  ibrav = 0, nat = 9, ntyp = 3
/
ATOMIC_SPECIES
Nb 92.91 Nb.upf
Ni 58.69 Ni.upf
Rh 102.91 Rh.upf
ATOMIC_POSITIONS crystal
Nb 0.0000 0.3147 0.3147
Nb 0.0000 0.6853 0.6853
Nb 0.3147 0.0000 0.3147
Nb 0.6853 0.0000 0.6853
Ni 0.0000 0.0000 0.0000
Rh 0.3385 0.3385 0.6771
Rh 0.3385 0.6615 0.0000
Rh 0.6615 0.3385 0.0000
Rh 0.6615 0.6615 0.3229
CELL_PARAMETERS angstrom
-4.2874 4.2874 1.9114
4.2874 -4.2874 1.9114
4.2874 4.2874 -1.9114
```

Summary:
total moment = 0.0 Bohr magnetons per cell
SG = No. 139
raw total energy = -8.74 eV/atom

***

2.
The following is a PBE calculation of crystalline NbNi6Rh at its relaxed geometry, from the Alexandria database. Values from VASP.

```
&SYSTEM
  ibrav = 0, nat = 8, ntyp = 3
/
ATOMIC_SPECIES
Nb 92.91 Nb.upf
Ni 58.69 Ni.upf
Rh 102.91 Rh.upf
ATOMIC_POSITIONS crystal
Nb 0.0000 0.0000 0.0000
Ni 0.0667 0.0667 0.5550
Ni 0.0667 0.5550 0.0667
Ni 0.4450 0.9333 0.9333
Ni 0.5550 0.0667 0.0667
Ni 0.9333 0.4450 0.9333
Ni 0.9333 0.9333 0.4450
Rh 0.5000 0.5000 0.5000
CELL_PARAMETERS angstrom
2.3621 1.3637 6.3411
-2.3621 1.3637 6.3411
0.0000 -2.7275 6.3411
```

Summary:
total moment = 1.2 Bohr magnetons per cell
SG = No. 166
raw total energy = -6.00 eV/atom

***

3.
The following is a PBE calculation of crystalline NbNi4Rh at its relaxed geometry, from the Alexandria database. Values from VASP.

```
&SYSTEM
  ibrav = 0, nat = 6, ntyp = 3
/
ATOMIC_SPECIES
Nb 92.91 Nb.upf
Ni 58.69 Ni.upf
Rh 102.91 Rh.upf
ATOMIC_POSITIONS crystal
Nb 0.0000 0.0000 0.0000
Ni 0.1269 0.6244 0.6244
Ni 0.6244 0.1269 0.6244
Ni 0.6244 0.6244 0.1269
Ni 0.6244 0.6244 0.6244
Rh 0.2500 0.2500 0.2500
CELL_PARAMETERS angstrom
0.0000 3.3389 3.3389
3.3389 0.0000 3.3389
3.3389 3.3389 0.0000
```

Summary:
total moment = 1.3 Bohr magnetons per cell
SG = No. 216
raw total energy = -7.01 eV/atom